A relaxed structure of EuTmZnHg, computed with PBE.

Computed properties:
The density of states at the Fermi level is 24.95 states/eV/cell. The value obtained for the energy of formation from the pure elements is -0.362 eV per atom. The calculation puts the spin magnetization at 27.9 Bohr magnetons per cell. The total energy is -0.3265 Ry/atom.

a b c (Å): 7.4125 7.4125 7.4125
angles (deg): 90.00 90.00 90.00
Space group F-43m (No. 216)
Inequivalent atoms, fractional coordinates:
Eu  0.0000  0.0000  0.0000 (multiplicity 4)
Tm  0.0000  0.0000  0.5000 (multiplicity 4)
Zn  0.2500  0.2500  0.2500 (multiplicity 4)
Hg  0.2500  0.2500  0.7500 (multiplicity 4)